The following is a PBE calculation of a relaxed structure of Tl3SbSe, from Alexandria via LeMat-Bulk.

Results
DOS(E_F) in states/eV per cell: 1.461
Formation energy from raw total energies in eV per atom: -0.194
Size of the total moment in μB/cell: 0.00
Energy relative to the lowest polymorph listed for this composition in eV per atom: 0.000

a = 4.109 Å, b = 6.767 Å, c = 12.502 Å
α = 83.11°, β = 89.81°, γ = 72.42°
Space group P-1 (No. 2)
One atom of each set of equivalent atoms:
Tl  0.003  0.487  0.144 x2
Tl  0.277  0.946  0.253 x2
Tl  0.387  0.733  0.561 x2
Sb  0.329  0.842  0.996 x2
Se  0.067  0.369  0.640 x2